[1]
PBE Li2YCd4, relaxed; M_tot = 0.000 μB/atom; N(E_F) = 0.548 states/eV per atom; energy of formation = -17.4 kJ/mol of atoms; calculated volume = 152.0 Å³/f.u.
1.0
4.622 0.000 1.444
2.085 4.125 1.444
0.040 0.025 7.991
Y Li Cd
1 2 4
Direct
0.000 0.000 0.000
0.264 0.264 0.208
0.736 0.736 0.792
0.588 0.588 0.235
0.138 0.138 0.587
0.412 0.412 0.765
0.862 0.862 0.413

[2]
PBE Li4YCd4, relaxed; M_tot = 0.000 μB/atom; N(E_F) = 0.704 states/eV per atom; energy of formation = -10.6 kJ/mol of atoms; calculated volume = 188.9 Å³/f.u.
1.0
6.199 0.000 0.000
0.000 6.199 0.000
0.000 0.000 9.831
Cd Li Y
8 8 2
Direct
0.500 0.233 0.788
0.267 0.000 0.288
0.733 0.000 0.288
0.000 0.733 0.712
0.233 0.500 0.212
0.500 0.767 0.788
0.000 0.267 0.712
0.767 0.500 0.212
0.000 0.282 0.425
0.500 0.782 0.075
0.718 0.000 0.575
0.000 0.718 0.425
0.782 0.500 0.925
0.500 0.218 0.075
0.218 0.500 0.925
0.282 0.000 0.575
0.500 0.500 0.500
0.000 0.000 0.000